Here is crystalline CaSi2H at its relaxed geometry from Alexandria via LeMat-Bulk. Energies are from PBE.

Calculated values
**Calculated total energy**: -4.31 eV/atom
**Offset from the most stable computed form**: 23 meV per atom
**V**: 276.6 Å³ per cell

a = 6.897 Å, b = 3.853 Å, c = 11.055 Å
α = 90.00°, β = 109.68°, γ = 90.00°
Element x y z (fractional)
1 Ca 0.718 0.500 0.669
2 Ca 0.282 0.000 0.831
3 Ca 0.718 0.000 0.169
4 Ca 0.282 0.500 0.331
5 Si 0.866 0.000 0.898
6 Si 0.134 0.000 0.102
7 Si 0.302 0.500 0.051
8 Si 0.698 0.500 0.949
9 Si 0.866 0.500 0.398
10 Si 0.134 0.500 0.602
11 Si 0.698 0.000 0.449
12 Si 0.302 0.000 0.551
13 H 0.500 0.000 0.322
14 H 0.500 0.500 0.178
15 H 0.500 0.500 0.822
16 H 0.500 0.000 0.678



Here is crystalline TbMg2AlGe2 at its relaxed geometry from Alexandria via LeMat-Bulk. Energies are from PBE.

Calculated values
**ΔE_f**: -0.38 eV/atom
**Calculated total energy**: -3.85 eV/atom
**V**: 247.8 Å³ per cell

a = 4.148 Å, b = 6.994 Å, c = 8.544 Å
α = 90.00°, β = 90.00°, γ = 90.00°
Element x y z (fractional)
1 Al 0.500 0.650 0.310
2 Al 0.500 0.150 0.690
3 Ge 0.000 0.249 0.876
4 Ge 0.000 0.749 0.124
5 Ge 0.500 0.272 0.383
6 Ge 0.500 0.772 0.617
7 Mg 0.000 0.865 0.817
8 Mg 0.500 0.042 0.076
9 Mg 0.500 0.542 0.924
10 Mg 0.000 0.365 0.183
11 Tb 0.000 0.467 0.582
12 Tb 0.000 0.967 0.418